1.
DFT (meta-GGA SCAN) results for a PBEsol-optimized structure of DyTmO3.

Cell and atoms, written as POSCAR:
```
DyTmO3
1.0
-3.703 -3.922 1.335
4.326 -3.841 0.715
0.590 2.142 7.932
O Dy Tm
12 4 4
Cartesian
0.539 -6.122 2.298 O
-1.162 -3.712 1.774 O
0.474 -0.227 4.988 O
0.675 0.501 7.683 O
2.175 -2.637 5.513 O
-0.962 -2.984 4.469 O
0.740 -5.394 4.993 O
2.845 -4.389 3.112 O
2.376 -1.909 8.208 O
-0.215 -3.944 7.497 O
1.429 -1.677 2.485 O
-1.631 -1.232 6.870 O
-3.226 -3.516 3.328 Dy
0.622 -3.652 3.079 Dy
4.440 -2.105 6.654 Dy
0.592 -1.969 6.903 Dy
2.163 -1.921 0.358 Tm
-1.556 -0.890 4.633 Tm
-1.851 -1.961 0.667 Tm
2.458 -0.850 4.324 Tm
```

=====

2.
DFT (meta-GGA SCAN) results for a PBEsol-optimized structure of Dy2VO5.

Cell and atoms, written as POSCAR:
```
Dy2VO5
1.0
-5.179 -4.190 -0.302
3.989 -5.112 2.521
-1.701 2.881 8.534
O V Dy
20 4 8
Cartesian
-2.125 -2.756 1.151 O
-1.060 -1.020 7.611 O
-0.828 -3.446 6.667 O
-4.980 -1.410 6.619 O
-2.689 -0.594 5.334 O
0.202 -4.034 2.372 O
-2.564 -6.635 7.055 O
-4.233 -4.029 5.844 O
-0.202 -5.827 5.419 O
-0.766 -3.665 9.602 O
-1.970 1.586 7.606 O
-2.063 -2.975 4.086 O
-0.328 0.214 3.698 O
-0.922 -8.007 3.147 O
-3.094 -2.387 8.381 O
-3.947 -5.002 9.078 O
2.088 -5.011 4.134 O
1.342 -2.392 4.909 O
1.056 -1.419 1.675 O
-1.831 -5.401 3.142 O
-0.092 -0.108 1.921 V
-1.376 -2.724 8.246 V
-1.516 -3.697 2.507 V
-2.799 -6.313 8.832 V
0.359 -6.166 3.280 Dy
-0.582 -1.400 5.414 Dy
2.137 -3.031 2.918 Dy
-4.224 -2.146 4.598 Dy
-5.029 -3.390 7.835 Dy
-2.310 -5.021 5.339 Dy
-3.250 -0.255 7.473 Dy
1.333 -4.275 6.155 Dy
```

=====

3.
DFT (meta-GGA SCAN) results for a PBEsol-optimized structure of DyVO4.

Cell and atoms, written as POSCAR:
```
DyVO4
1.0
5.912 -0.011 0.000
-2.616 5.302 0.000
-1.648 -2.645 5.024
O Dy V
8 2 2
Cartesian
3.015 3.083 0.929 O
2.746 1.414 3.441 O
-0.210 1.420 4.095 O
0.210 -1.420 4.095 O
1.589 -0.443 1.583 O
4.323 0.432 1.583 O
3.166 -1.425 3.441 O
0.281 2.208 0.929 O
-1.308 2.651 2.512 Dy
0.000 0.000 0.000 Dy
1.648 2.645 0.000 V
2.956 -0.006 2.512 V
```

=====

4.
DFT (meta-GGA SCAN) results for a PBEsol-optimized structure of DyVO4.

Cell and atoms, written as POSCAR:
```
DyVO4
1.0
-1.295 -4.830 -0.123
0.952 -0.380 4.896
-5.091 3.987 -1.256
O Dy V
8 2 2
Cartesian
-4.566 -2.108 -0.579 O
-4.838 0.548 -0.320 O
-1.219 -3.668 3.254 O
-3.975 1.765 2.213 O
-2.614 -3.236 1.003 O
-0.836 -1.093 1.886 O
-3.703 -0.891 1.954 O
-2.231 -0.662 -0.364 O
-2.155 0.501 3.013 Dy
0.000 0.000 0.000 Dy
-0.171 -2.605 2.386 V
-3.278 -1.724 0.503 V
```

=====

Record order is preserved below.
DFT total energy: -551.2, -688.1, -220.3, -220.0 eV/cell
Record order is preserved below.
Volume: 13.3, 13.2, 13.1, 11.6 Å³ per atom
Record order is preserved below.
Formation energy from raw total energies: -3.90, -3.48, -3.32, -3.30 eV/atom